1.
Entry from Alexandria via LeMat-Bulk: a relaxed Pr2ErI6 crystal (PBE-GGA).

Calculated values
SG: P4_2/mnm
calculated total energy: -67.54 eV per cell

Cell: 7.920 7.920 12.189 Å, 90.00 90.00 90.00°
Last column: magnetic moment on the atom in μB.
Sites, in units of the cell vectors:
I: 0.229 0.771 0.000  0.00
I: 0.708 0.708 0.163  0.00
I: 0.729 0.729 0.500  0.00
I: 0.208 0.792 0.663  0.00
I: 0.292 0.292 0.163  0.00
I: 0.208 0.792 0.337  0.00
I: 0.792 0.208 0.663  0.00
I: 0.771 0.229 0.000  0.00
I: 0.792 0.208 0.337  0.00
I: 0.271 0.271 0.500  0.00
I: 0.708 0.708 0.837  0.00
I: 0.292 0.292 0.837  0.00
Pr: 0.000 0.000 0.155  0.15
Pr: 0.500 0.500 0.655  0.15
Pr: 0.500 0.500 0.345  0.15
Pr: 0.000 0.000 0.845  0.15
Er: 0.000 0.000 0.500  0.03
Er: 0.500 0.500 0.000  0.03

2.
Entry from Alexandria via LeMat-Bulk: a relaxed PrErI crystal (PBE-GGA).

Calculated values
SG: Immm
energy above the lowest structure with this stoichiometry: 0 meV/atom

Cell: 6.016 3.757 9.696 Å, 101.17 108.07 90.00°
Sites, in units of the cell vectors:
I: 0.834 0.334 0.667
I: 0.166 0.666 0.333
Er: 0.254 0.500 0.000
Er: 0.746 0.500 0.000
Pr: 0.649 0.149 0.299
Pr: 0.351 0.851 0.701

3.
Entry from Alexandria via LeMat-Bulk: a relaxed Pr2ErI crystal (PBE-GGA).

Calculated values
SG: R-3m
energy above the lowest structure with this stoichiometry: 16 meV/atom

Cell: 3.811 3.811 11.104 Å, 80.12 80.12 60.00°
Sites, in units of the cell vectors:
I: 0.500 0.500 0.500
Pr: 0.754 0.754 0.738
Pr: 0.246 0.246 0.262
Er: 0.000 0.000 0.000